[1]
! PmNdPtRh, optimized geometry, DFT PBE; values from VASP
! Calculated formation energy, kJ/mol of atoms: -90.8
! DOS at the Fermi energy, states/eV per atom: 0.59
! Raw total energy, eV per atom: -6.67
! SG: Amm2 (38)
! Energy relative to the lowest polymorph listed for this composition, meV per atom: 0
&SYSTEM
  ibrav = 0, nat = 4, ntyp = 4
/
ATOMIC_SPECIES
Pm 145.00 Pm.upf
Nd 144.24 Nd.upf
Pt 195.08 Pt.upf
Rh 102.91 Rh.upf
ATOMIC_POSITIONS crystal
Pm 0.000 0.000 0.000
Nd 0.500 0.279 0.279
Pt 0.000 0.722 0.722
Rh 0.500 0.548 0.548
CELL_PARAMETERS angstrom
4.432 0.000 0.000
0.000 1.953 5.431
0.000 -1.953 5.431

[2]
! KRe2Pb, optimized geometry, DFT PBE; values from VASP
! Calculated formation energy, kJ/mol of atoms: 53.4
! DOS at the Fermi energy, states/eV per atom: 0.63
! Raw total energy, eV per atom: -6.87
! SG: P4mm (99)
&SYSTEM
  ibrav = 0, nat = 4, ntyp = 3
/
ATOMIC_SPECIES
K 39.10 K.upf
Re 186.21 Re.upf
Pb 207.20 Pb.upf
ATOMIC_POSITIONS crystal
K 0.000 0.000 0.000
Re 0.000 0.000 0.566
Re 0.500 0.500 0.702
Pb 0.500 0.500 0.329
CELL_PARAMETERS angstrom
3.157 0.000 0.000
0.000 3.157 0.000
0.000 0.000 9.310